{"formula": "NiPN2O", "functional": "PBE with a Hubbard U", "state": "optimized geometry", "crystal_system": "tetragonal", "dft_energy_ev_per_cell": -26.9, "spacegroup": "P4/mmm, No. 123", "magnetic_moment_mub_per_fu": 2.50, "cell": [[3.519, 0.000, 0.000], [0.000, 3.519, 0.000], [0.000, 0.000, 3.435]], "species": ["Ni", "N", "N", "O", "P"], "frac_coords": [[0.500, 0.500, 0.500], [0.000, 0.500, 0.000], [0.500, 0.000, 0.000], [0.000, 0.000, 0.500], [0.000, 0.000, 0.000]]}